Computed, not measured: a relaxed structure of K2YTeS4 at the PBE level of DFT.

Summary:
Its density of states at the Fermi level is 3.20 states/eV per cell. The formation energy without anion corrections is -1.121 eV per atom.

abc: 8.2597 8.2597 8.2315
angles: 116.81 116.81 89.96
Element x y z (fractional)
1 K 0.5000 0.0000 0.0000
2 K 0.5000 0.0000 0.5000
3 K 0.0000 0.0000 0.5000
4 K 0.5000 0.5000 0.0000
5 Y 0.0000 0.5000 0.0000
6 Y 0.0000 0.5000 0.5000
7 Te 0.5000 0.5000 0.5000
8 Te 0.0000 0.0000 0.0000
9 S 0.1929 0.7288 0.9434
10 S 0.7711 0.3071 0.5566
11 S 0.2289 0.6928 0.4434
12 S 0.8072 0.2712 0.0566
13 S 0.7950 0.7646 0.0114
14 S 0.7354 0.7050 0.4886
15 S 0.2646 0.2950 0.5114
16 S 0.2050 0.2354 0.9886